# 1
Below is crystalline Ac2NbCdO6 at its relaxed geometry, with properties calculated at the PBE-GGA level.

Cell lengths 5.355, 5.645, 5.645 Å; angles 90.00, 90.00, 90.00 degrees
Each line ends with the local moment (μB).
Sites, in units of the cell vectors:
Ac (0.007, 0.500, 0.000)  0.02
Ac (0.007, 0.000, 0.500)  0.02
Nb (0.580, 0.000, 0.000)  0.58
Cd (0.549, 0.500, 0.500)  0.00
O (0.734, 0.234, 0.234)  0.01
O (0.734, 0.234, 0.766)  0.01
O (0.145, 0.500, 0.500)  0.00
O (0.225, 0.000, 0.000)  -0.02
O (0.734, 0.766, 0.766)  0.01
O (0.734, 0.766, 0.234)  0.01

Calculated values
M_tot   0.80 μB/cell
Space group   P4mm (99)
Formation energy without anion corrections   -2534 meV/atom
Energy   -7.4289 eV/atom

***

# 2
Below is crystalline CuReW2 at its relaxed geometry, with properties calculated at the PBE-GGA level.

Cell lengths 2.702, 2.702, 8.636 Å; angles 90.00, 90.00, 107.13 degrees
Sites, in units of the cell vectors:
Cu (0.500, 0.500, 0.250)
Re (0.500, 0.500, 0.750)
W (0.000, 0.000, 0.005)
W (0.000, 0.000, 0.495)

Calculated values
M_tot   0.00 μB/cell
Polymorph energy (0 for the lowest one)   39 meV/atom
Space group   Cmmm (65)
ΔH_f (0 K)   262 meV/atom
Energy   -10.3502 eV/atom

***

Q: Among the records above, which one has the highest M_tot?
A: Ac2NbCdO6

***

Q: What is the M_tot in the first record?
A: 0.80 μB/cell